1.
Material: Mg7Tl2Ga
Method: DFT, PBE-GGA
State: optimized geometry

a b c (Å): 7.4175 7.4175 7.4175
angles (deg): 60.00 60.00 60.00
Last column: nearest neighbours and their distance in Å.
Fractional coordinates of all 10 atoms:
Mg 0.0000 0.0000 0.0000  6 Mg 2.69
Mg 0.2567 0.2567 0.7433  1 Ga 2.55, 1 Mg 2.69
Mg 0.2567 0.7433 0.2567  1 Ga 2.55, 1 Mg 2.69
Mg 0.2567 0.7433 0.7433  1 Ga 2.55, 1 Mg 2.69
Mg 0.7433 0.2567 0.2567  1 Ga 2.55, 1 Mg 2.69
Mg 0.7433 0.2567 0.7433  1 Ga 2.55, 1 Mg 2.69
Mg 0.7433 0.7433 0.2567  1 Ga 2.55, 1 Mg 2.69
Tl 0.2500 0.2500 0.2500  12 Mg 3.71
Tl 0.7500 0.7500 0.7500  12 Mg 3.71
Ga 0.5000 0.5000 0.5000  6 Mg 2.55

## Properties
Space group: No. 225
E: -1.618 eV/atom
Distance to the lowest polymorph of the same formula: 28.45 kJ per mole of atoms
M_tot: 0.00 μB per formula unit



2.
Material: Mg5Tl2Ga
Method: DFT, PBE-GGA
State: optimized geometry

a b c (Å): 4.5834 4.5834 17.4869
angles (deg): 90.00 90.00 90.00
Last column: nearest neighbours and their distance in Å.
Fractional coordinates of all 16 atoms:
Mg 0.0000 0.0000 0.0000  8 Mg 3.07, 4 Ga 3.24
Mg 0.0000 0.5000 0.1166  6 Mg 3.07-3.24, 2 Ga 3.07, 4 Tl 3.22-3.32
Mg 0.0000 0.5000 0.3834  6 Mg 3.07-3.24, 2 Ga 3.07, 4 Tl 3.22-3.32
Mg 0.0000 0.5000 0.6166  6 Mg 3.07-3.24, 2 Ga 3.07, 4 Tl 3.22-3.32
Mg 0.0000 0.5000 0.8834  6 Mg 3.07-3.24, 2 Ga 3.07, 4 Tl 3.22-3.32
Mg 0.5000 0.0000 0.1166  6 Mg 3.07-3.24, 2 Ga 3.07, 4 Tl 3.22-3.32
Mg 0.5000 0.0000 0.3834  6 Mg 3.07-3.24, 2 Ga 3.07, 4 Tl 3.22-3.32
Mg 0.5000 0.0000 0.6166  6 Mg 3.07-3.24, 2 Ga 3.07, 4 Tl 3.22-3.32
Mg 0.5000 0.0000 0.8834  6 Mg 3.07-3.24, 2 Ga 3.07, 4 Tl 3.22-3.32
Mg 0.5000 0.5000 0.5000  8 Mg 3.07, 4 Ga 3.24
Tl 0.0000 0.0000 0.2463  8 Mg 3.22-3.32, 4 Tl 3.24
Tl 0.0000 0.0000 0.7537  8 Mg 3.22-3.32, 4 Tl 3.24
Tl 0.5000 0.5000 0.2537  8 Mg 3.22-3.32, 4 Tl 3.24
Tl 0.5000 0.5000 0.7463  8 Mg 3.22-3.32, 4 Tl 3.24
Ga 0.0000 0.0000 0.5000  12 Mg 3.07-3.24
Ga 0.5000 0.5000 0.0000  12 Mg 3.07-3.24

## Properties
Space group: No. 139
E: -1.997 eV/atom
Distance to the lowest polymorph of the same formula: 0.00 kJ per mole of atoms
M_tot: 0.00 μB per formula unit



3.
Material: Mg5Tl2Ga
Method: DFT, PBE-GGA
State: optimized geometry

a b c (Å): 4.7986 4.7986 19.6734
angles (deg): 90.00 90.00 120.00
Last column: nearest neighbours and their distance in Å.
Fractional coordinates of all 16 atoms:
Mg 0.0000 0.0000 0.1664  3 Tl 3.06, 3 Ga 3.22, 4 Mg 3.22-3.29
Mg 0.0000 0.0000 0.3336  3 Tl 3.06, 3 Ga 3.22, 4 Mg 3.22-3.29
Mg 0.0000 0.0000 0.6664  3 Tl 3.06, 4 Mg 3.22-3.29, 3 Ga 3.22
Mg 0.0000 0.0000 0.8336  3 Tl 3.06, 4 Mg 3.22-3.29, 3 Ga 3.22
Mg 0.3333 0.6667 0.0524  4 Tl 2.93-3.01
Mg 0.3333 0.6667 0.2500  3 Ga 2.77
Mg 0.3333 0.6667 0.4476  4 Tl 2.93-3.01
Mg 0.6667 0.3333 0.5524  4 Tl 2.93-3.01
Mg 0.6667 0.3333 0.7500  3 Ga 2.77
Mg 0.6667 0.3333 0.9476  4 Tl 2.93-3.01
Tl 0.3333 0.6667 0.6005  7 Mg 2.93-3.06, 1 Ga 2.94
Tl 0.3333 0.6667 0.8995  7 Mg 2.93-3.06, 1 Ga 2.94
Tl 0.6667 0.3333 0.1005  7 Mg 2.93-3.06, 1 Ga 2.94
Tl 0.6667 0.3333 0.3995  7 Mg 2.93-3.06, 1 Ga 2.94
Ga 0.3333 0.6667 0.7500  3 Mg 2.77, 2 Tl 2.94
Ga 0.6667 0.3333 0.2500  3 Mg 2.77, 2 Tl 2.94

## Properties
Space group: No. 194
E: -1.970 eV/atom
Distance to the lowest polymorph of the same formula: 2.65 kJ per mole of atoms
M_tot: 0.00 μB per formula unit



4.
Material: Mg12TlGa3
Method: DFT, PBE-GGA
State: optimized geometry

a b c (Å): 4.3473 4.3473 17.9728
angles (deg): 90.00 90.00 90.00
Last column: nearest neighbours and their distance in Å.
Fractional coordinates of all 16 atoms:
Mg 0.0000 0.0000 0.0000  4 Ga 3.07, 8 Mg 3.10
Mg 0.0000 0.0000 0.2447  4 Ga 3.07, 8 Mg 3.09
Mg 0.0000 0.0000 0.5000  4 Tl 3.07, 8 Mg 3.24
Mg 0.0000 0.0000 0.7553  4 Ga 3.07, 8 Mg 3.09
Mg 0.0000 0.5000 0.1226  8 Mg 3.07-3.10, 4 Ga 3.09-3.10
Mg 0.0000 0.5000 0.3667  8 Mg 3.07-3.24, 2 Ga 3.08, 2 Tl 3.24
Mg 0.0000 0.5000 0.6333  8 Mg 3.07-3.24, 2 Ga 3.08, 2 Tl 3.24
Mg 0.0000 0.5000 0.8774  8 Mg 3.07-3.10, 4 Ga 3.09-3.10
Mg 0.5000 0.0000 0.1226  8 Mg 3.07-3.10, 4 Ga 3.09-3.10
Mg 0.5000 0.0000 0.3667  8 Mg 3.07-3.24, 2 Ga 3.08, 2 Tl 3.24
Mg 0.5000 0.0000 0.6333  8 Mg 3.07-3.24, 2 Ga 3.08, 2 Tl 3.24
Mg 0.5000 0.0000 0.8774  8 Mg 3.07-3.10, 4 Ga 3.09-3.10
Tl 0.5000 0.5000 0.5000  12 Mg 3.07-3.24
Ga 0.5000 0.5000 0.0000  12 Mg 3.07-3.10
Ga 0.5000 0.5000 0.2451  12 Mg 3.07-3.09
Ga 0.5000 0.5000 0.7549  12 Mg 3.07-3.09

## Properties
Space group: No. 123
E: -1.982 eV/atom
M_tot: 0.00 μB per formula unit



5.
Material: Mg2TlGa
Method: DFT, PBE-GGA
State: optimized geometry

a b c (Å): 3.3432 3.3432 28.0630
angles (deg): 90.00 90.00 120.00
Last column: nearest neighbours and their distance in Å.
Fractional coordinates of all 12 atoms:
Mg 0.0000 0.0000 0.2430  3 Ga 2.88, 3 Tl 3.19
Mg 0.0000 0.0000 0.7570  3 Ga 2.88, 3 Tl 3.19
Mg 0.3333 0.6667 0.4237  3 Ga 2.88, 3 Tl 3.19
Mg 0.3333 0.6667 0.9097  3 Ga 2.88, 3 Tl 3.19
Mg 0.6667 0.3333 0.0903  3 Ga 2.88, 3 Tl 3.19
Mg 0.6667 0.3333 0.5763  3 Ga 2.88, 3 Tl 3.19
Tl 0.0000 0.0000 0.0000  6 Mg 3.19, 6 Tl 3.34
Tl 0.3333 0.6667 0.6667  6 Mg 3.19, 6 Tl 3.34
Tl 0.6667 0.3333 0.3333  6 Mg 3.19, 6 Tl 3.34
Ga 0.0000 0.0000 0.5000  6 Mg 2.88
Ga 0.3333 0.6667 0.1667  6 Mg 2.88
Ga 0.6667 0.3333 0.8333  6 Mg 2.88

## Properties
Space group: No. 166
E: -2.191 eV/atom
Distance to the lowest polymorph of the same formula: 2.50 kJ per mole of atoms
M_tot: 0.00 μB per formula unit



6.
Material: MgTlGa2
Method: DFT, PBE-GGA
State: optimized geometry

a b c (Å): 3.2997 3.2997 29.0521
angles (deg): 90.00 90.00 120.00
Last column: nearest neighbours and their distance in Å.
Fractional coordinates of all 12 atoms:
Mg 0.0000 0.0000 0.0000  6 Ga 2.96, 6 Mg 3.30
Mg 0.3333 0.6667 0.6667  6 Ga 2.96, 6 Mg 3.30
Mg 0.6667 0.3333 0.3333  6 Ga 2.96, 6 Mg 3.30
Tl 0.0000 0.0000 0.5000  6 Ga 3.20, 6 Tl 3.30
Tl 0.3333 0.6667 0.1667  6 Ga 3.20, 6 Tl 3.30
Tl 0.6667 0.3333 0.8333  6 Ga 3.20, 6 Tl 3.30
Ga 0.0000 0.0000 0.2552  3 Mg 2.96, 3 Tl 3.20, 6 Ga 3.30
Ga 0.0000 0.0000 0.7448  3 Mg 2.96, 3 Tl 3.20, 6 Ga 3.30
Ga 0.3333 0.6667 0.4115  3 Mg 2.96, 3 Tl 3.20, 6 Ga 3.30
Ga 0.3333 0.6667 0.9218  3 Mg 2.96, 3 Tl 3.20, 6 Ga 3.30
Ga 0.6667 0.3333 0.0782  3 Mg 2.96, 3 Tl 3.20, 6 Ga 3.30
Ga 0.6667 0.3333 0.5885  3 Mg 2.96, 3 Tl 3.20, 6 Ga 3.30

## Properties
Space group: No. 166
E: -2.450 eV/atom
Distance to the lowest polymorph of the same formula: 4.34 kJ per mole of atoms
M_tot: 0.00 μB per formula unit



7.
Material: Mg3TlGa
Method: DFT, PBE-GGA
State: optimized geometry

a b c (Å): 5.1174 5.1174 5.1174
angles (deg): 90.00 90.00 90.00
Last column: nearest neighbours and their distance in Å.
Fractional coordinates of all 5 atoms:
Mg 0.0000 0.0000 0.5000  2 Ga 2.56
Mg 0.0000 0.5000 0.0000  2 Ga 2.56
Mg 0.5000 0.0000 0.0000  2 Ga 2.56
Tl 0.5000 0.5000 0.5000  12 Mg 3.62
Ga 0.0000 0.0000 0.0000  6 Mg 2.56

## Properties
Space group: No. 221
E: -1.925 eV/atom
Distance to the lowest polymorph of the same formula: 14.17 kJ per mole of atoms
M_tot: 0.00 μB per formula unit



8.
Material: Mg12TlGa6
Method: DFT, PBE-GGA
State: optimized geometry

a b c (Å): 8.3436 8.3436 8.3436
angles (deg): 110.61 110.61 110.61
Last column: nearest neighbours and their distance in Å.
Fractional coordinates of all 19 atoms:
Mg 0.0000 0.2555 0.7445  4 Ga 2.76-2.82
Mg 0.0000 0.7445 0.2555  4 Ga 2.76-2.82
Mg 0.1613 0.4756 0.4756  3 Ga 2.74-2.84, 1 Mg 3.00
Mg 0.2555 0.0000 0.7445  4 Ga 2.76-2.82
Mg 0.2555 0.7445 0.0000  4 Ga 2.76-2.82
Mg 0.4756 0.1613 0.4756  3 Ga 2.74-2.84, 1 Mg 3.00
Mg 0.4756 0.4756 0.1613  3 Ga 2.74-2.84, 1 Mg 3.00
Mg 0.5244 0.5244 0.8387  3 Ga 2.74-2.84, 1 Mg 3.00
Mg 0.5244 0.8387 0.5244  3 Ga 2.74-2.84, 1 Mg 3.00
Mg 0.7445 0.0000 0.2555  4 Ga 2.76-2.82
Mg 0.7445 0.2555 0.0000  4 Ga 2.76-2.82
Mg 0.8387 0.5244 0.5244  3 Ga 2.74-2.84, 1 Mg 3.00
Tl 0.0000 0.0000 0.0000  6 Ga 3.46, 12 Mg 3.51-3.83
Ga 0.1535 0.1535 0.4993  7 Mg 2.74-2.84, 1 Ga 2.92
Ga 0.1535 0.4993 0.1535  7 Mg 2.74-2.84, 1 Ga 2.92
Ga 0.4993 0.1535 0.1535  7 Mg 2.74-2.84, 1 Ga 2.92
Ga 0.5007 0.8465 0.8465  7 Mg 2.74-2.84, 1 Ga 2.92
Ga 0.8465 0.5007 0.8465  7 Mg 2.74-2.84, 1 Ga 2.92
Ga 0.8465 0.8465 0.5007  7 Mg 2.74-2.84, 1 Ga 2.92

## Properties
Space group: No. 166
E: -2.139 eV/atom
M_tot: 0.00 μB per formula unit



9.
Material: MgTl2Ga10
Method: DFT, PBE-GGA
State: optimized geometry

a b c (Å): 6.1423 13.9332 7.9775
angles (deg): 90.00 90.17 90.00
Last column: nearest neighbours and their distance in Å.
Fractional coordinates of all 26 atoms:
Mg 0.0000 0.0000 0.0000  8 Ga 2.74-2.86
Mg 0.0000 0.5000 0.5000  8 Ga 2.74-2.86
Tl 0.4989 0.1582 0.8254  10 Ga 3.58-3.86
Tl 0.4989 0.3418 0.3254  10 Ga 3.58-3.86
Tl 0.5011 0.6582 0.6746  10 Ga 3.58-3.86
Tl 0.5011 0.8418 0.1746  10 Ga 3.58-3.86
Ga 0.9995 0.1895 0.0892  4 Ga 2.44-2.72
Ga 0.9995 0.3105 0.5892  4 Ga 2.44-2.72
Ga 0.0005 0.6895 0.4108  4 Ga 2.44-2.72
Ga 0.0005 0.8105 0.9108  4 Ga 2.44-2.72
Ga 0.0006 0.1619 0.4271  5 Ga 2.44-2.72
Ga 0.0006 0.3381 0.9271  5 Ga 2.44-2.72
Ga 0.0011 0.5362 0.8417  5 Ga 2.54-2.84, 1 Mg 2.77
Ga 0.0011 0.9638 0.3417  5 Ga 2.54-2.84, 1 Mg 2.77
Ga 0.3020 0.5853 0.2724  4 Ga 2.43-2.67
Ga 0.3020 0.9147 0.7724  4 Ga 2.43-2.67
Ga 0.3031 0.0859 0.2279  4 Ga 2.43-2.68
Ga 0.3031 0.4141 0.7279  4 Ga 2.43-2.68
Ga 0.6969 0.5859 0.2721  4 Ga 2.43-2.68
Ga 0.6969 0.9141 0.7721  4 Ga 2.43-2.68
Ga 0.6980 0.0853 0.2276  4 Ga 2.43-2.67
Ga 0.6980 0.4147 0.7276  4 Ga 2.43-2.67
Ga 0.9989 0.0362 0.6583  5 Ga 2.54-2.84, 1 Mg 2.77
Ga 0.9989 0.4638 0.1583  5 Ga 2.54-2.84, 1 Mg 2.77
Ga 0.9994 0.6619 0.0729  5 Ga 2.44-2.72
Ga 0.9994 0.8381 0.5729  5 Ga 2.44-2.72

## Properties
Space group: No. 14
E: -2.690 eV/atom
M_tot: 0.00 μB per formula unit



10.
Material: Mg7TlGa4
Method: DFT, PBE-GGA
State: optimized geometry

a b c (Å): 6.9870 6.9870 9.6301
angles (deg): 123.25 123.25 45.18
Last column: nearest neighbours and their distance in Å.
Fractional coordinates of all 12 atoms:
Mg 0.0000 0.0000 0.0000  2 Tl 2.68, 4 Ga 2.70-2.78
Mg 0.2030 0.2030 0.6465  2 Ga 2.69-2.78
Mg 0.2804 0.2804 0.1285  4 Ga 2.89-3.15, 2 Mg 2.94-3.05
Mg 0.4385 0.4385 0.6112  3 Ga 2.71-3.03, 1 Mg 2.94
Mg 0.5615 0.5615 0.3888  3 Ga 2.71-3.03, 1 Mg 2.94
Mg 0.7196 0.7196 0.8715  4 Ga 2.89-3.15, 2 Mg 2.94-3.05
Mg 0.7970 0.7970 0.3535  2 Ga 2.69-2.78
Tl 0.5000 0.5000 0.0000  2 Mg 2.68
Ga 0.0617 0.0617 0.7684  1 Ga 2.68, 3 Mg 2.69-2.89
Ga 0.1847 0.1847 0.3443  1 Ga 2.68, 4 Mg 2.70-2.98
Ga 0.8153 0.8153 0.6557  1 Ga 2.68, 4 Mg 2.70-2.98
Ga 0.9383 0.9383 0.2316  1 Ga 2.68, 3 Mg 2.69-2.89

## Properties
Space group: No. 12
E: -2.133 eV/atom
M_tot: 0.00 μB per formula unit



no.,formation enthalpy at 0 K (eV/atom)
1,0.27
2,-0.03
3,0.00
4,-0.07
5,-0.05
6,0.05
7,0.11
8,-0.05
9,0.12
10,0.00